(1)
VASP calculation (GGA-PBE) on a relaxed TlI2Cl crystal.

Values from the calculation:
total energy	-0.1347	Ry/atom
energy above the lowest structure with this stoichiometry	372	meV per atom
M_tot	1.70	μB/f.u.
uncorrected formation energy	-0.4	kJ/mol of atoms

Structure (CIF):
```
data_TlI2Cl
_chemical_formula_sum 'Tl4 I8 Cl4'
_symmetry_space_group_name_H-M 'F m -3 m'
_symmetry_Int_Tables_number 225
_symmetry_space_group_name_Hall '-F 4 2 3'
_cell_length_a 8.092
_cell_length_b 8.092
_cell_length_c 8.092
_cell_angle_alpha 90.00
_cell_angle_beta 90.00
_cell_angle_gamma 90.00
loop_
_atom_site_label
_atom_site_type_symbol
_atom_site_fract_x
_atom_site_fract_y
_atom_site_fract_z
Tl1 Tl 0.000 0.000 0.000
I1 I 0.250 0.250 0.250
Cl1 Cl 0.000 0.000 0.500
```


(2)
VASP calculation (GGA-PBE) on a relaxed TlICl2 crystal.

Values from the calculation:
total energy	-0.1838	Ry/atom
energy above the lowest structure with this stoichiometry	7	meV per atom
M_tot	0.00	μB/f.u.
uncorrected formation energy	-57.7	kJ/mol of atoms

Structure (CIF):
```
data_TlICl2
_chemical_formula_sum 'Tl3 I3 Cl6'
_symmetry_space_group_name_H-M 'R -3 m'
_symmetry_Int_Tables_number 166
_symmetry_space_group_name_Hall '-R 3 2"'
_cell_length_a 5.1123
_cell_length_b 5.1123
_cell_length_c 23.9945
_cell_angle_alpha 90.00
_cell_angle_beta 90.00
_cell_angle_gamma 120.00
loop_
_atom_site_label
_atom_site_type_symbol
_atom_site_fract_x
_atom_site_fract_y
_atom_site_fract_z
Tl1 Tl 0.0000 0.0000 0.0000
I1 I 0.0000 0.0000 0.5000
Cl1 Cl 0.0000 0.0000 0.3925
```


(3)
VASP calculation (GGA-PBE) on a relaxed Tl4I3Cl crystal.

Values from the calculation:
total energy	-0.1988	Ry/atom
energy above the lowest structure with this stoichiometry	32	meV per atom
M_tot	0.00	μB/f.u.
uncorrected formation energy	-68.5	kJ/mol of atoms

Structure (CIF):
```
data_Tl4I3Cl
_chemical_formula_sum 'Tl8 I6 Cl2'
_symmetry_space_group_name_H-M 'P m n 21'
_symmetry_Int_Tables_number 31
_cell_length_a 11.570
_cell_length_b 10.249
_cell_length_c 7.001
_cell_angle_alpha 90.00
_cell_angle_beta 90.00
_cell_angle_gamma 90.00
loop_
_symmetry_equiv_pos_as_xyz
'x,y,z'
'-x+1/2,-y,z+1/2'
'-x,y,z'
'x+1/2,-y,z+1/2'
loop_
_atom_site_label
_atom_site_type_symbol
_atom_site_fract_x
_atom_site_fract_y
_atom_site_fract_z
Tl1 Tl 0.000 0.139 0.000
Tl2 Tl 0.000 0.828 0.526
Tl3 Tl 0.235 0.675 0.001
I1 I 0.000 0.164 0.501
I2 I 0.240 0.337 0.001
Cl1 Cl 0.000 0.828 0.966
```


(4)
VASP calculation (GGA-PBE) on a relaxed Tl2ICl2 crystal.

Values from the calculation:
total energy	-0.1919	Ry/atom
energy above the lowest structure with this stoichiometry	0	meV per atom
M_tot	0.00	μB/f.u.
uncorrected formation energy	-59.5	kJ/mol of atoms

Structure (CIF):
```
data_Tl2ICl2
_chemical_formula_sum 'Tl4 I2 Cl4'
_symmetry_space_group_name_H-M 'I 4/m m m'
_symmetry_Int_Tables_number 139
_symmetry_space_group_name_Hall '-I 4 2'
_cell_length_a 6.194
_cell_length_b 6.194
_cell_length_c 9.343
_cell_angle_alpha 90.00
_cell_angle_beta 90.00
_cell_angle_gamma 90.00
loop_
_atom_site_label
_atom_site_type_symbol
_atom_site_fract_x
_atom_site_fract_y
_atom_site_fract_z
Tl1 Tl 0.000 0.500 0.250
I1 I 0.000 0.000 0.000
Cl1 Cl 0.000 0.000 0.337
```


(5)
VASP calculation (GGA-PBE) on a relaxed TlI3Cl9 crystal.

Values from the calculation:
total energy	-0.1541	Ry/atom
M_tot	0.00	μB/f.u.
uncorrected formation energy	-26.8	kJ/mol of atoms

Structure (CIF):
```
data_TlI3Cl9
_chemical_formula_sum 'Tl4 I12 Cl36'
_symmetry_space_group_name_H-M 'C 1 c 1'
_symmetry_Int_Tables_number 9
_cell_length_a 22.601
_cell_length_b 9.317
_cell_length_c 14.571
_cell_angle_alpha 90.00
_cell_angle_beta 128.93
_cell_angle_gamma 90.00
loop_
_symmetry_equiv_pos_as_xyz
'x,y,z'
'x,-y,z+1/2'
'x+1/2,y+1/2,z'
'x+1/2,-y+1/2,z+1/2'
loop_
_atom_site_label
_atom_site_type_symbol
_atom_site_fract_x
_atom_site_fract_y
_atom_site_fract_z
Tl1 Tl 0.000 0.215 0.000
I1 I 0.098 0.496 0.406
I2 I 0.263 0.101 0.299
I3 I 0.388 0.379 0.635
Cl1 Cl 0.125 0.415 0.778
Cl2 Cl 0.127 0.486 0.102
Cl3 Cl 0.146 0.143 0.281
Cl4 Cl 0.214 0.125 0.701
Cl5 Cl 0.317 0.372 0.402
Cl6 Cl 0.320 0.402 0.114
Cl7 Cl 0.381 0.061 0.317
Cl8 Cl 0.455 0.149 0.641
Cl9 Cl 0.464 0.375 0.850
```


(6)
VASP calculation (GGA-PBE) on a relaxed Tl3ICl2 crystal.

Values from the calculation:
total energy	-0.2156	Ry/atom
energy above the lowest structure with this stoichiometry	5	meV per atom
M_tot	0.00	μB/f.u.
uncorrected formation energy	-84.6	kJ/mol of atoms

Structure (CIF):
```
data_Tl3ICl2
_chemical_formula_sum 'Tl12 I4 Cl8'
_symmetry_space_group_name_H-M 'P 1 21/c 1'
_symmetry_Int_Tables_number 14
_cell_length_a 6.746
_cell_length_b 14.256
_cell_length_c 9.406
_cell_angle_alpha 90.00
_cell_angle_beta 90.01
_cell_angle_gamma 90.00
loop_
_symmetry_equiv_pos_as_xyz
'x,y,z'
'-x,-y,-z'
'-x,y+1/2,-z+1/2'
'x,-y+1/2,z+1/2'
loop_
_atom_site_label
_atom_site_type_symbol
_atom_site_fract_x
_atom_site_fract_y
_atom_site_fract_z
Tl1 Tl 0.249 0.092 0.348
Tl2 Tl 0.249 0.094 0.895
Tl3 Tl 0.250 0.742 0.868
I1 I 0.250 0.570 0.125
Cl1 Cl 0.247 0.234 0.623
Cl2 Cl 0.248 0.589 0.617
```


(7)
VASP calculation (GGA-PBE) on a relaxed TlICl2 crystal.

Values from the calculation:
total energy	-0.1837	Ry/atom
energy above the lowest structure with this stoichiometry	9	meV per atom
M_tot	0.00	μB/f.u.
uncorrected formation energy	-57.5	kJ/mol of atoms

Structure (CIF):
```
data_TlICl2
_chemical_formula_sum 'Tl2 I2 Cl4'
_symmetry_space_group_name_H-M 'P 63/m m c'
_symmetry_Int_Tables_number 194
_symmetry_space_group_name_Hall '-P 6c 2c'
_cell_length_a 5.1308
_cell_length_b 5.1308
_cell_length_c 15.9070
_cell_angle_alpha 90.00
_cell_angle_beta 90.00
_cell_angle_gamma 120.00
loop_
_atom_site_label
_atom_site_type_symbol
_atom_site_fract_x
_atom_site_fract_y
_atom_site_fract_z
Tl1 Tl 0.0000 0.0000 0.0000
I1 I 0.3333 0.6667 0.2500
Cl1 Cl 0.3333 0.6667 0.0879
```


(8)
VASP calculation (GGA-PBE) on a relaxed TlI2Cl8 crystal.

Values from the calculation:
total energy	-0.1584	Ry/atom
M_tot	0.00	μB/f.u.
uncorrected formation energy	-30.4	kJ/mol of atoms

Structure (CIF):
```
data_TlI2Cl8
_chemical_formula_sum 'Tl4 I8 Cl32'
_symmetry_space_group_name_H-M 'C 1 2/c 1'
_symmetry_Int_Tables_number 15
_cell_length_a 9.313
_cell_length_b 13.869
_cell_length_c 13.961
_cell_angle_alpha 90.00
_cell_angle_beta 99.87
_cell_angle_gamma 90.00
loop_
_symmetry_equiv_pos_as_xyz
'x,y,z'
'-x,-y,-z'
'-x,y,-z+1/2'
'x,-y,z+1/2'
'x+1/2,y+1/2,z'
'-x+1/2,-y+1/2,-z'
'-x+1/2,y+1/2,-z+1/2'
'x+1/2,-y+1/2,z+1/2'
loop_
_atom_site_label
_atom_site_type_symbol
_atom_site_fract_x
_atom_site_fract_y
_atom_site_fract_z
Tl1 Tl 0.000 0.160 0.250
I1 I 0.175 0.109 0.576
Cl1 Cl 0.041 0.246 0.481
Cl2 Cl 0.158 0.010 0.424
Cl3 Cl 0.202 0.207 0.728
Cl4 Cl 0.210 0.470 0.829
```


(9)
VASP calculation (GGA-PBE) on a relaxed TlI2Cl crystal.

Values from the calculation:
total energy	-0.1427	Ry/atom
energy above the lowest structure with this stoichiometry	264	meV per atom
M_tot	0.00	μB/f.u.
uncorrected formation energy	-10.9	kJ/mol of atoms

Structure (CIF):
```
data_TlI2Cl
_chemical_formula_sum 'Tl4 I8 Cl4'
_symmetry_space_group_name_H-M 'I -4 2 d'
_symmetry_Int_Tables_number 122
_symmetry_space_group_name_Hall 'I -4 2bw'
_cell_length_a 8.496
_cell_length_b 8.496
_cell_length_c 8.253
_cell_angle_alpha 90.00
_cell_angle_beta 90.00
_cell_angle_gamma 90.00
loop_
_atom_site_label
_atom_site_type_symbol
_atom_site_fract_x
_atom_site_fract_y
_atom_site_fract_z
Tl1 Tl 0.000 0.000 0.000
I1 I 0.216 0.250 0.125
Cl1 Cl 0.000 0.000 0.500
```


(10)
VASP calculation (GGA-PBE) on a relaxed Tl2I3Cl6 crystal.

Values from the calculation:
total energy	-0.1705	Ry/atom
M_tot	0.00	μB/f.u.
uncorrected formation energy	-44.4	kJ/mol of atoms

Structure (CIF):
```
data_Tl2I3Cl6
_chemical_formula_sum 'Tl8 I12 Cl24'
_symmetry_space_group_name_H-M 'C 1 2/c 1'
_symmetry_Int_Tables_number 15
_cell_length_a 15.582
_cell_length_b 6.801
_cell_length_c 17.128
_cell_angle_alpha 90.00
_cell_angle_beta 109.74
_cell_angle_gamma 90.00
loop_
_symmetry_equiv_pos_as_xyz
'x,y,z'
'-x,-y,-z'
'-x,y,-z+1/2'
'x,-y,z+1/2'
'x+1/2,y+1/2,z'
'-x+1/2,-y+1/2,-z'
'-x+1/2,y+1/2,-z+1/2'
'x+1/2,-y+1/2,z+1/2'
loop_
_atom_site_label
_atom_site_type_symbol
_atom_site_fract_x
_atom_site_fract_y
_atom_site_fract_z
Tl1 Tl 0.072 0.227 0.459
I1 I 0.000 0.325 0.750
I2 I 0.219 0.116 0.249
Cl1 Cl 0.023 0.323 0.907
Cl2 Cl 0.176 0.123 0.095
Cl3 Cl 0.249 0.385 0.595
```


(11)
VASP calculation (GGA-PBE) on a relaxed Tl2I2Cl crystal.

Values from the calculation:
total energy	-0.1823	Ry/atom
energy above the lowest structure with this stoichiometry	0	meV per atom
M_tot	0.00	μB/f.u.
uncorrected formation energy	-52.6	kJ/mol of atoms

Structure (CIF):
```
data_Tl2I2Cl
_chemical_formula_sum 'Tl4 I4 Cl2'
_symmetry_space_group_name_H-M 'P -1'
_symmetry_Int_Tables_number 2
_cell_length_a 4.464
_cell_length_b 4.465
_cell_length_c 19.819
_cell_angle_alpha 89.19
_cell_angle_beta 89.30
_cell_angle_gamma 86.88
loop_
_symmetry_equiv_pos_as_xyz
'x,y,z'
'-x,-y,-z'
loop_
_atom_site_label
_atom_site_type_symbol
_atom_site_fract_x
_atom_site_fract_y
_atom_site_fract_z
Tl1 Tl 0.150 0.351 0.142
Tl2 Tl 0.349 0.151 0.641
I1 I 0.185 0.340 0.434
I2 I 0.342 0.185 0.934
Cl1 Cl 0.141 0.859 0.250
```


(12)
VASP calculation (GGA-PBE) on a relaxed TlI2Cl6 crystal.

Values from the calculation:
total energy	-0.1581	Ry/atom
M_tot	0.00	μB/f.u.
uncorrected formation energy	-30.2	kJ/mol of atoms

Structure (CIF):
```
data_TlI2Cl6
_chemical_formula_sum 'Tl4 I8 Cl24'
_symmetry_space_group_name_H-M 'C 1 2/c 1'
_symmetry_Int_Tables_number 15
_cell_length_a 11.735
_cell_length_b 15.501
_cell_length_c 8.775
_cell_angle_alpha 90.00
_cell_angle_beta 114.35
_cell_angle_gamma 90.00
loop_
_symmetry_equiv_pos_as_xyz
'x,y,z'
'-x,-y,-z'
'-x,y,-z+1/2'
'x,-y,z+1/2'
'x+1/2,y+1/2,z'
'-x+1/2,-y+1/2,-z'
'-x+1/2,y+1/2,-z+1/2'
'x+1/2,-y+1/2,z+1/2'
loop_
_atom_site_label
_atom_site_type_symbol
_atom_site_fract_x
_atom_site_fract_y
_atom_site_fract_z
Tl1 Tl 0.000 0.138 0.250
I1 I 0.161 0.431 0.165
Cl1 Cl 0.109 0.411 0.602
Cl2 Cl 0.112 0.023 0.606
Cl3 Cl 0.207 0.275 0.226
```


(13)
VASP calculation (GGA-PBE) on a relaxed TlICl2 crystal.

Values from the calculation:
total energy	-0.1562	Ry/atom
energy above the lowest structure with this stoichiometry	383	meV per atom
M_tot	0.97	μB/f.u.
uncorrected formation energy	-21.4	kJ/mol of atoms

Structure (CIF):
```
data_TlICl2
_chemical_formula_sum 'Tl4 I4 Cl8'
_symmetry_space_group_name_H-M 'I -4 2 d'
_symmetry_Int_Tables_number 122
_symmetry_space_group_name_Hall 'I -4 2bw'
_cell_length_a 8.308
_cell_length_b 8.308
_cell_length_c 11.574
_cell_angle_alpha 90.00
_cell_angle_beta 90.00
_cell_angle_gamma 90.00
loop_
_atom_site_label
_atom_site_type_symbol
_atom_site_fract_x
_atom_site_fract_y
_atom_site_fract_z
Tl1 Tl 0.000 0.000 0.000
I1 I 0.000 0.000 0.500
Cl1 Cl 0.092 0.250 0.125
```


(14)
VASP calculation (GGA-PBE) on a relaxed TlICl2 crystal.

Values from the calculation:
total energy	-0.1524	Ry/atom
energy above the lowest structure with this stoichiometry	434	meV per atom
M_tot	2.00	μB/f.u.
uncorrected formation energy	-16.5	kJ/mol of atoms

Structure (CIF):
```
data_TlICl2
_chemical_formula_sum 'Tl4 I4 Cl8'
_symmetry_space_group_name_H-M 'F m -3 m'
_symmetry_Int_Tables_number 225
_symmetry_space_group_name_Hall '-F 4 2 3'
_cell_length_a 7.870
_cell_length_b 7.870
_cell_length_c 7.870
_cell_angle_alpha 90.00
_cell_angle_beta 90.00
_cell_angle_gamma 90.00
loop_
_atom_site_label
_atom_site_type_symbol
_atom_site_fract_x
_atom_site_fract_y
_atom_site_fract_z
Tl1 Tl 0.000 0.000 0.000
I1 I 0.000 0.000 0.500
Cl1 Cl 0.250 0.250 0.250
```


(15)
VASP calculation (GGA-PBE) on a relaxed Tl6I5Cl crystal.

Values from the calculation:
total energy	-0.1984	Ry/atom
M_tot	0.00	μB/f.u.
uncorrected formation energy	-69.1	kJ/mol of atoms

Structure (CIF):
```
data_Tl6I5Cl
_chemical_formula_sum 'Tl12 I10 Cl2'
_symmetry_space_group_name_H-M 'C 1 2/m 1'
_symmetry_Int_Tables_number 12
_cell_length_a 8.576
_cell_length_b 14.854
_cell_length_c 8.551
_cell_angle_alpha 90.00
_cell_angle_beta 109.61
_cell_angle_gamma 90.00
loop_
_symmetry_equiv_pos_as_xyz
'x,y,z'
'-x,-y,-z'
'-x,y,-z'
'x,-y,z'
'x+1/2,y+1/2,z'
'-x+1/2,-y+1/2,-z'
'-x+1/2,y+1/2,-z'
'x+1/2,-y+1/2,z'
loop_
_atom_site_label
_atom_site_type_symbol
_atom_site_fract_x
_atom_site_fract_y
_atom_site_fract_z
Tl1 Tl 0.232 0.000 0.256
Tl2 Tl 0.237 0.158 0.738
I1 I 0.000 0.176 0.000
I2 I 0.000 0.337 0.500
I3 I 0.000 0.500 0.000
Cl1 Cl 0.000 0.000 0.500
```


(16)
VASP calculation (GGA-PBE) on a relaxed TlI3Cl crystal.

Values from the calculation:
total energy	-0.1534	Ry/atom
energy above the lowest structure with this stoichiometry	0	meV per atom
M_tot	0.00	μB/f.u.
uncorrected formation energy	-30.3	kJ/mol of atoms

Structure (CIF):
```
data_TlI3Cl
_chemical_formula_sum 'Tl2 I6 Cl2'
_symmetry_space_group_name_H-M 'P 1'
_symmetry_Int_Tables_number 1
_cell_length_a 6.152
_cell_length_b 8.087
_cell_length_c 10.454
_cell_angle_alpha 91.19
_cell_angle_beta 102.67
_cell_angle_gamma 95.47
loop_
_symmetry_equiv_pos_as_xyz
'x,y,z'
loop_
_atom_site_label
_atom_site_type_symbol
_atom_site_fract_x
_atom_site_fract_y
_atom_site_fract_z
Tl1 Tl 0.000 0.000 0.000
Tl2 Tl 0.268 0.511 0.384
I1 I 0.427 0.270 0.234
I2 I 0.511 0.789 0.783
I3 I 0.632 0.752 0.531
I4 I 0.652 0.329 0.974
I5 I 0.885 0.334 0.775
I6 I 0.950 0.712 0.254
Cl1 Cl 0.143 0.328 0.549
Cl2 Cl 0.445 0.831 0.018
```


(17)
VASP calculation (GGA-PBE) on a relaxed Tl12I3Cl5 crystal.

Values from the calculation:
total energy	-0.1889	Ry/atom
M_tot	0.00	μB/f.u.
uncorrected formation energy	-44.0	kJ/mol of atoms

Structure (CIF):
```
data_Tl12I3Cl5
_chemical_formula_sum 'Tl96 I24 Cl40'
_symmetry_space_group_name_H-M 'I a -3 d'
_symmetry_Int_Tables_number 230
_symmetry_space_group_name_Hall '-I 4bd 2c 3'
_cell_length_a 19.131
_cell_length_b 19.131
_cell_length_c 19.131
_cell_angle_alpha 90.00
_cell_angle_beta 90.00
_cell_angle_gamma 90.00
loop_
_atom_site_label
_atom_site_type_symbol
_atom_site_fract_x
_atom_site_fract_y
_atom_site_fract_z
Tl1 Tl 0.019 0.075 0.652
I1 I 0.000 0.250 0.125
Cl1 Cl 0.000 0.000 0.000
Cl2 Cl 0.000 0.250 0.375
```